Version a
## Fe2Hg2Rh (PBE)

Data for a geometry-optimized Fe2Hg2Rh structure.

The structure in POSCAR format:
```
Fe2Hg2Rh
1.0
-0.4242 3.0710 2.3678
-2.6525 -1.9673 2.0764
2.8294 -1.5855 5.7766
Rh Fe Hg
1 2 2
Direct
0.0000 0.0000 0.0000
0.5869 0.5869 0.8263
0.4131 0.4131 0.1737
0.2500 0.7500 0.5000
0.7500 0.2500 0.5000
```

- Crystal system: tetragonal
- Size of the total moment: 6.62 μB per cell

Version b
## Fe2Hg2Rh (PBE)

Data for a geometry-optimized Fe2Hg2Rh structure.

The structure in POSCAR format:
```
Fe2Hg2Rh
1.0
-0.5651 6.3377 -0.2140
-5.0252 -0.5786 -3.8657
-2.5389 -0.1144 3.3175
Fe Hg Rh
4 4 2
Direct
0.6247 0.1247 0.0000
0.3753 0.8753 0.0000
0.8753 0.6247 0.0000
0.1247 0.3753 0.0000
0.8227 0.3227 0.5000
0.6773 0.8227 0.5000
0.1773 0.6773 0.5000
0.3227 0.1773 0.5000
0.0000 0.0000 0.0000
0.5000 0.5000 0.0000
```

- Crystal system: tetragonal
- Size of the total moment: 11.83 μB per cell

Energy ordering: version b at the bottom, the next structure 330 meV/atom above.

Version a
## Fe2HgS2 (PBE)

Data for a geometry-optimized Fe2HgS2 structure.

The structure in POSCAR format:
```
Fe2HgS2
1.0
-1.1171 -1.1251 -3.2128
2.6729 -2.3837 -0.0946
-5.7759 -3.9988 5.4062
S Fe Hg
2 2 1
Direct
0.6781 0.6781 0.3562
0.3219 0.3219 0.6438
0.7500 0.2500 0.5000
0.2500 0.7500 0.5000
0.0000 0.0000 0.0000
```

- Crystal system: tetragonal
- Size of the total moment: 0.00 μB per cell

Version b
## Fe2HgS2 (PBE)

Data for a geometry-optimized Fe2HgS2 structure.

The structure in POSCAR format:
```
Fe2HgS2
1.0
-2.6305 -2.5157 1.0634
0.0311 -1.5038 -3.4809
2.5138 -5.3694 0.2767
Fe S Hg
2 2 1
Direct
0.3594 0.3594 0.2812
0.6406 0.6406 0.7188
0.2500 0.7500 0.5000
0.7500 0.2500 0.5000
0.0000 0.0000 0.0000
```

- Crystal system: tetragonal
- Size of the total moment: 0.65 μB per cell

Energy ordering: version a at the bottom, the next structure 622 meV/atom above.

Version a
## Fe3HgS (PBE)

Data for a geometry-optimized Fe3HgS structure.

The structure in POSCAR format:
```
Fe3HgS
1.0
-3.8527 2.8730 0.7182
-2.6865 -3.8866 1.1361
1.2462 0.5037 4.6698
Hg Fe S
1 3 1
Direct
0.0000 0.0000 0.0000
0.0000 0.5000 0.0000
0.5000 0.0000 0.0000
0.0000 0.0000 0.5000
0.5000 0.5000 0.5000
```

- Crystal system: cubic
- Size of the total moment: 9.88 μB per cell

Version b
## Fe3HgS (PBE)

Data for a geometry-optimized Fe3HgS structure.

The structure in POSCAR format:
```
Fe3HgS
1.0
4.2028 0.0000 0.0000
0.0000 4.2028 0.0000
0.0000 0.0000 4.2028
Hg Fe S
1 3 1
Direct
0.5000 0.5000 0.5000
0.5000 0.0000 0.0000
0.0000 0.0000 0.5000
0.0000 0.5000 0.0000
0.0000 0.0000 0.0000
```

- Crystal system: cubic
- Size of the total moment: 6.05 μB per cell

Energy ordering: version b at the bottom, the next structure 1442 meV/atom above.

Version a
## FeHgSb (PBE)

Data for a geometry-optimized FeHgSb structure.

The structure in POSCAR format:
```
FeHgSb
1.0
-1.8975 4.1375 -4.9558
-3.4550 1.4800 -5.5809
-2.6459 1.2945 1.0966
Fe Sb Hg
1 1 1
Direct
0.9936 0.9936 0.0064
0.3721 0.3721 0.6279
0.6343 0.6343 0.3657
```

- Crystal system: tetragonal
- Size of the total moment: 1.67 μB per cell

Version b
## FeHgSb (PBE)

Data for a geometry-optimized FeHgSb structure.

The structure in POSCAR format:
```
FeHgSb
1.0
4.5075 0.0000 0.0000
2.2537 3.9036 0.0000
2.2537 1.3012 3.6803
Fe Hg Sb
1 1 1
Direct
0.7500 0.7500 0.7500
0.0000 0.0000 0.0000
0.5000 0.5000 0.5000
```

- Crystal system: cubic
- Size of the total moment: 2.47 μB per cell

Energy ordering: version b at the bottom, the next structure 46 meV/atom above.

Version a
## FeHgSb (PBE)

Data for a geometry-optimized FeHgSb structure.

The structure in POSCAR format:
```
FeHgSb
1.0
4.2730 0.0000 0.0000
-2.1365 3.7005 0.0000
0.0000 0.0000 4.2567
Sb Fe Hg
1 1 1
Direct
0.3333 0.6667 0.7595
0.0000 0.0000 0.9470
0.6667 0.3333 0.2936
```

- Crystal system: trigonal
- Size of the total moment: 2.57 μB per cell

Version b
## FeHgSb (PBE)

Data for a geometry-optimized FeHgSb structure.

The structure in POSCAR format:
```
FeHgSb
1.0
-1.0693 -2.1041 2.3275
2.9743 1.4321 0.3007
-2.7611 5.0436 3.2909
Sb Fe Hg
1 1 1
Direct
0.3333 0.6667 0.7215
0.0000 0.0000 0.9864
0.6667 0.3333 0.2921
```

- Crystal system: trigonal
- Size of the total moment: 1.91 μB per cell

Energy ordering: version b at the bottom, the next structure 148 meV/atom above.

Version a
## Sc4FeHg (PBE)

Data for a geometry-optimized Sc4FeHg structure.

The structure in POSCAR format:
```
Sc4FeHg
1.0
1.2521 -4.4992 3.2100
-2.9059 -0.9772 4.7661
-3.5969 -4.3702 0.2800
Sc Fe Hg
4 1 1
Direct
0.3754 0.3754 0.8737
0.3754 0.8737 0.3754
0.3754 0.3754 0.3754
0.8737 0.3754 0.3754
0.7500 0.7500 0.7500
0.0000 0.0000 0.0000
```

- Crystal system: cubic
- Size of the total moment: 2.21 μB per cell

Version b
## Sc4FeHg (PBE)

Data for a geometry-optimized Sc4FeHg structure.

The structure in POSCAR format:
```
Sc4FeHg
1.0
5.5218 0.2465 -1.0574
-1.9132 6.4641 -2.3520
0.1971 -0.1090 7.1363
Sc Fe Hg
8 2 2
Direct
0.8910 0.6423 0.8005
0.4538 0.7309 0.0593
0.0462 0.9407 0.2691
0.3910 0.8005 0.6423
0.9538 0.0593 0.7309
0.6090 0.1995 0.3577
0.1090 0.3577 0.1995
0.5462 0.2691 0.9407
0.7500 0.0015 0.9985
0.2500 0.9985 0.0015
0.2500 0.3704 0.6296
0.7500 0.6296 0.3704
```

- Crystal system: monoclinic
- Size of the total moment: 0.00 μB per cell

Energy ordering: version b at the bottom, the next structure 694 meV/atom above.